Entry 1:
# Ca3MnBi

A relaxed structure of Ca3MnBi (GGA-PBE, the Alexandria database).

Computed properties:
- Energy relative to the lowest polymorph listed for this composition: 0 meV/atom
- Final energy: -3.61 eV per atom
- Calculated formation energy: 0.20 eV per atom
- Total magnetization: 2.3 μB per cell

Unit cell a=5.4241 b=5.4241 c=5.4241 alpha=90.00 beta=90.00 gamma=90.00
Closest atoms and distances in Å follow each position.
Space group Pm-3m (No. 221)
One atom of each set of equivalent atoms:
1 Ca 0.0000 0.0000 0.5000  2 Mn 2.71
2 Mn 0.0000 0.0000 0.0000  6 Ca 2.71
3 Bi 0.5000 0.5000 0.5000  12 Ca 3.84



Entry 2:
# SiBr2F

A relaxed structure of SiBr2F (GGA-PBE, the Alexandria database).

Computed properties:
- Energy relative to the lowest polymorph listed for this composition: 1359 meV/atom
- Final energy: -2.76 eV per atom
- Total magnetization: 0.0 μB per cell

Unit cell a=6.6093 b=6.6093 c=6.6093 alpha=90.00 beta=90.00 gamma=90.00
Closest atoms and distances in Å follow each position.
Space group Fm-3m (No. 225)
One atom of each set of equivalent atoms:
1 Si 0.0000 0.0000 0.0000  8 Br 2.86
2 Br 0.2500 0.2500 0.2500  4 F 2.86, 4 Si 2.86
3 F 0.0000 0.0000 0.5000  8 Br 2.86



Entry 3:
# Pu2NpRu3

A relaxed structure of Pu2NpRu3 (GGA-PBE, the Alexandria database).

Computed properties:
- Energy relative to the lowest polymorph listed for this composition: 78 meV/atom
- Final energy: -11.59 eV per atom
- Calculated formation energy: -0.02 eV per atom
- Total magnetization: 45.7 μB per cell

Unit cell a=15.9010 b=5.5008 c=5.4789 alpha=90.00 beta=107.07 gamma=90.00
Closest atoms and distances in Å follow each position.
Space group C2/c (No. 15)
One atom of each set of equivalent atoms:
1 Pu 0.1670 0.1068 0.0738  4 Ru 2.67-2.89, 2 Pu 2.98
2 Np 0.0000 0.4142 0.2500  4 Ru 2.61-2.78, 2 Np 2.90
3 Ru 0.0000 0.0798 0.7500  2 Np 2.72-2.78, 2 Pu 2.73, 2 Ru 2.88
4 Ru 0.1604 0.4088 0.5589  1 Np 2.61, 3 Pu 2.67-2.89, 2 Ru 2.92



Entry 4:
# LaZnRe2

A relaxed structure of LaZnRe2 (GGA-PBE, the Alexandria database).

Computed properties:
- Final energy: -7.09 eV per atom
- Calculated formation energy: 0.69 eV per atom
- Total magnetization: 0.0 μB per cell

Unit cell a=3.0810 b=4.8890 c=4.9059 alpha=90.00 beta=90.00 gamma=90.00
Closest atoms and distances in Å follow each position.
Space group Pmmm (No. 47)
One atom of each set of equivalent atoms:
1 La 0.0000 0.0000 0.0000  4 Zn 2.89, 4 Re 2.90, 2 La 3.08
2 Zn 0.5000 0.5000 0.0000  4 La 2.89, 4 Re 2.90, 2 Zn 3.08
3 Re 0.0000 0.5000 0.5000  6 Re 2.89-3.08, 4 Zn 2.90
4 Re 0.5000 0.0000 0.5000  6 Re 2.89-3.08, 4 La 2.90